1.
Here is a relaxed structure of MnAl2Ag from Alexandria. Energies are from GGA-PBE.

Output
Energy above the lowest structure with this stoichiometry = 224 meV per atom
D(E_F) = 3.24 states/eV/cell
Crystal system = cubic
Formation energy from the elements = 0.0636 eV/atom

Cell and atoms, written as extended XYZ:
```
4
Lattice="0.269 0.516 4.276 1.431 3.727 1.638 -2.731 2.655 2.029" Properties=species:S:1:pos:R:3 pbc="T T T"
Mn 0.000 0.000 0.000
Al -0.258 1.724 1.986
Al -0.773 5.173 5.957
Ag -0.515 3.449 3.971
```



2.
Here is a relaxed structure of La4Sb3 from Alexandria. Energies are from GGA-PBE.

Output
Formation energy from raw total energies = -1.1411 eV per atom
Energy above the lowest structure with this stoichiometry = 0 meV per atom
D(E_F) = 17.82 states/eV/cell
Crystal system = cubic

Cell and atoms, written as extended XYZ:
```
14
Lattice="-7.692 0.612 -3.330 0.669 -7.254 4.191 1.287 6.413 5.277" Properties=species:S:1:pos:R:3 pbc="T T T"
La -4.924 -0.196 5.268
La -3.417 -4.348 1.024
La 1.160 0.488 5.481
La -4.292 3.599 0.502
La -2.056 -0.082 2.199
La -3.751 -0.721 -1.071
La -0.446 3.293 2.167
La 0.517 -2.719 2.843
Sb -4.868 -1.669 2.101
Sb -1.177 -5.392 3.494
Sb -3.591 2.472 3.448
Sb -6.325 1.232 -1.071
Sb -1.579 -1.203 5.192
Sb 0.332 3.874 5.249
```



3.
Here is a relaxed structure of Ac3Sn2Pb4 from Alexandria. Energies are from GGA-PBE.

Output
D(E_F) = 6.68 states/eV/cell
Crystal system = hexagonal
Formation energy from the elements = -0.4562 eV/atom

Cell and atoms, written as extended XYZ:
```
9
Lattice="-3.806 2.876 0.019 -3.624 -4.837 6.166 5.048 6.666 2.151" Properties=species:S:1:pos:R:3 pbc="T T T"
Ac 0.121 4.111 0.872
Ac -3.356 -0.501 2.482
Ac -1.050 2.534 4.992
Sn -0.733 -1.003 4.828
Sn 2.158 2.832 3.489
Pb -1.903 1.438 0.010
Pb 0.378 0.485 2.206
Pb -2.663 -3.554 4.531
Pb 3.709 4.898 1.581
```



4.
Here is a relaxed structure of La2CoB10 from Alexandria. Energies are from GGA-PBE.

Output
D(E_F) = 5.92 states/eV/cell
Crystal system = orthorhombic
Formation energy from the elements = -0.5778 eV/atom

Cell and atoms, written as extended XYZ:
```
26
Lattice="4.223 0.000 0.000 0.000 5.677 0.000 0.000 0.000 11.303" Properties=species:S:1:pos:R:3 pbc="T T T"
La 2.112 1.703 9.784
La 2.112 3.975 1.519
La 2.112 4.541 7.171
La 2.112 1.136 4.133
Co 0.000 2.839 5.652
Co 0.000 0.000 0.000
B 0.000 0.725 6.116
B 0.000 4.952 5.187
B 0.000 3.564 10.839
B 0.000 2.113 0.464
B 0.000 0.882 7.879
B 0.000 4.795 3.424
B 1.258 1.141 1.273
B 1.258 4.537 10.030
B 2.966 3.979 4.378
B 2.966 1.698 6.925
B 2.966 4.537 10.030
B 2.966 1.141 1.273
B 1.258 1.698 6.925
B 1.258 3.979 4.378
B 0.000 0.205 2.115
B 0.000 5.472 9.188
B 0.000 3.044 3.536
B 0.000 2.633 7.767
B 0.000 1.956 2.227
B 0.000 3.721 9.076
```



5.
Here is a relaxed structure of CdW2Cl from Alexandria. Energies are from GGA-PBE.

Output
Formation energy from raw total energies = 1.2692 eV per atom
Energy above the lowest structure with this stoichiometry = 1038 meV per atom
D(E_F) = 3.47 states/eV/cell
Crystal system = tetragonal

Cell and atoms, written as extended XYZ:
```
4
Lattice="-3.799 4.049 0.892 -0.291 -1.062 3.583 2.749 2.374 0.927" Properties=species:S:1:pos:R:3 pbc="T T T"
Cl -0.525 3.212 0.910
W 0.000 0.000 0.000
W 1.229 0.656 2.255
Cd -2.045 1.494 2.238
```



6.
Here is a relaxed structure of Y2ZrPbN from Alexandria. Energies are from GGA-PBE.

Output
Formation energy from raw total energies = -0.8650 eV per atom
D(E_F) = 4.25 states/eV/cell
Crystal system = tetragonal

Cell and atoms, written as extended XYZ:
```
5
Lattice="4.924 0.000 0.000 0.000 4.924 0.000 0.000 0.000 4.450" Properties=species:S:1:pos:R:3 pbc="T T T"
Pb 2.462 2.462 2.225
Y 0.000 2.462 0.000
Y 2.462 0.000 0.000
Zr 0.000 0.000 2.225
N 0.000 0.000 0.000
```



7.
Here is a relaxed structure of CsNa2Sb2 from Alexandria. Energies are from GGA-PBE.

Output
Formation energy from raw total energies = -0.2758 eV per atom
Energy above the lowest structure with this stoichiometry = 102 meV per atom
D(E_F) = 1.18 states/eV/cell
Crystal system = monoclinic

Cell and atoms, written as extended XYZ:
```
5
Lattice="5.235 0.000 0.000 0.000 6.102 0.702 -2.617 -0.976 6.881" Properties=species:S:1:pos:R:3 pbc="T T T"
Cs 0.000 0.000 0.000
Na 0.000 1.757 4.595
Na 2.617 3.369 2.988
Sb 2.617 0.218 3.046
Sb 0.000 4.908 4.537
```



8.
Here is a relaxed structure of HfMgIr3 from Alexandria. Energies are from GGA-PBE.

Output
Energy above the lowest structure with this stoichiometry = 0 meV per atom
D(E_F) = 4.15 states/eV/cell
Crystal system = cubic
Formation energy from the elements = 0.7186 eV/atom

Cell and atoms, written as extended XYZ:
```
5
Lattice="4.454 0.000 0.000 0.000 4.454 0.000 0.000 0.000 4.454" Properties=species:S:1:pos:R:3 pbc="T T T"
Mg 0.000 0.000 0.000
Ir 0.000 2.227 0.000
Ir 0.000 0.000 2.227
Ir 2.227 0.000 0.000
Hf 2.227 2.227 2.227
```